SbTe2WF | GGA+U | optimized geometry

Cell lengths 5.4012, 5.4012, 4.3282 Å; angles 90.00, 90.00, 90.00 degrees
Last column: nearest neighbours and their distance in Å.
Positions (direct):
Sb: 0.0000 0.0000 0.5000  2 F 2.16
Te: 0.0000 0.5000 0.0000  2 F 2.70
Te: 0.5000 0.0000 0.0000  2 F 2.70
W: 0.5000 0.5000 0.5000  8 Te 3.46, 4 Sb 3.82
F: 0.0000 0.0000 0.0000  2 Sb 2.16

Summary:
magnetic moment: 3.4 μB per cell
energy: -0.2539 Ry per atom